This record from Alexandria via LeMat-Bulk describes Rb2HfH at its PBEsol-relaxed geometry. The functional is meta-GGA SCAN.

The structure belongs to space group Fm-3m (No. 225); the cell edges are 8.4799, 8.4799 and 8.4799 Å and the angles 90.00°, 90.00° and 90.00°. Symmetry generates all atoms from Rb at (0.2500, 0.2500, 0.2500), Hf at (0.0000, 0.0000, 0.0000) and H at (0.0000, 0.0000, 0.5000).

Its volume is 38.11 A^3/atom. As for the energy: -25.394 eV/atom. The calculation puts the total magnetic moment at 3.0 μB/f.u.

***

This record from Alexandria via LeMat-Bulk describes Hf2ReH2 at its PBEsol-relaxed geometry. The functional is meta-GGA SCAN.

The structure belongs to space group I4/mmm (No. 139); the cell edges are 3.2370, 3.2370 and 11.4857 Å and the angles 90.00°, 90.00° and 90.00°. Symmetry generates all atoms from Hf at (0.0000, 0.0000, 0.1387), Re at (0.0000, 0.0000, 0.5000) and H at (0.0000, 0.5000, 0.2500).

Its volume is 12.03 A^3/atom. As for the energy: -41.238 eV/atom. The calculation puts the total magnetic moment at 0.0 μB/f.u.

***

This record from Alexandria via LeMat-Bulk describes Hf3ReH at its PBEsol-relaxed geometry. The functional is meta-GGA SCAN.

The structure belongs to space group Pm-3m (No. 221); the cell edges are 4.2735, 4.2735 and 4.2735 Å and the angles 90.00°, 90.00° and 90.00°. Symmetry generates all atoms from Hf at (0.0000, 0.0000, 0.5000), Re at (0.5000, 0.5000, 0.5000) and H at (0.0000, 0.0000, 0.0000).

Its volume is 15.61 A^3/atom. As for the energy: -52.556 eV/atom. The calculation puts the total magnetic moment at 0.0 μB/f.u.

***

This record from Alexandria via LeMat-Bulk describes HfH2Rh at its PBEsol-relaxed geometry. The functional is meta-GGA SCAN.

The structure belongs to space group I-42d (No. 122); the cell edges are 4.1327, 4.1327 and 9.3736 Å and the angles 90.00°, 90.00° and 90.00°. Symmetry generates all atoms from Hf at (0.0000, 0.0000, 0.0000), H at (0.1955, 0.2500, 0.6250) and Rh at (0.0000, 0.0000, 0.5000).

Its volume is 10.01 A^3/atom. As for the energy: -26.212 eV/atom. The calculation puts the total magnetic moment at 0.0 μB/f.u.

***

This record from Alexandria via LeMat-Bulk describes Hf2HRhW at its PBEsol-relaxed geometry. The functional is meta-GGA SCAN.

The structure belongs to space group P4/mmm (No. 123); the cell edges are 5.0880, 5.0880 and 3.1171 Å and the angles 90.00°, 90.00° and 90.00°. Symmetry generates all atoms from Hf at (0.0000, 0.5000, 0.0000), H at (0.0000, 0.0000, 0.5000), Rh at (0.0000, 0.0000, 0.0000) and W at (0.5000, 0.5000, 0.5000).

Its volume is 16.14 A^3/atom. As for the energy: -46.050 eV/atom. The calculation puts the total magnetic moment at 0.0 μB/f.u.

***

This record from Alexandria via LeMat-Bulk describes HfZn2HRh at its PBEsol-relaxed geometry. The functional is meta-GGA SCAN.

The structure belongs to space group P4/mmm (No. 123); the cell edges are 4.7587, 4.7587 and 3.2136 Å and the angles 90.00°, 90.00° and 90.00°. Symmetry generates all atoms from Hf at (0.0000, 0.0000, 0.0000), Zn at (0.0000, 0.5000, 0.5000), H at (0.5000, 0.5000, 0.0000) and Rh at (0.5000, 0.5000, 0.5000).

Its volume is 14.55 A^3/atom. As for the energy: -25.267 eV/atom. The calculation puts the total magnetic moment at 0.0 μB/f.u.

***

This record from Alexandria via LeMat-Bulk describes HfHRu3 at its PBEsol-relaxed geometry. The functional is meta-GGA SCAN.

The structure belongs to space group Pm-3m (No. 221); the cell edges are 3.9329, 3.9329 and 3.9329 Å and the angles 90.00°, 90.00° and 90.00°. Symmetry generates all atoms from Hf at (0.0000, 0.0000, 0.0000), H at (0.5000, 0.5000, 0.5000) and Ru at (0.0000, 0.5000, 0.5000).

Its volume is 12.17 A^3/atom. As for the energy: -34.398 eV/atom. The calculation puts the total magnetic moment at 0.0 μB/f.u.

***

This record from Alexandria via LeMat-Bulk describes Hf3HRu at its PBEsol-relaxed geometry. The functional is meta-GGA SCAN.

The structure belongs to space group Pm-3m (No. 221); the cell edges are 4.2582, 4.2582 and 4.2582 Å and the angles 90.00°, 90.00° and 90.00°. Symmetry generates all atoms from Hf at (0.0000, 0.0000, 0.5000), H at (0.0000, 0.0000, 0.0000) and Ru at (0.5000, 0.5000, 0.5000).

Its volume is 15.44 A^3/atom. As for the energy: -45.438 eV/atom. The calculation puts the total magnetic moment at 0.0 μB/f.u.